(1)
A plane-wave DFT calculation with PBE was carried out for AcHg2Pt after structural relaxation.

## Properties
Energy above the lowest structure with this stoichiometry: 253 meV/atom
Calculated volume: 100.0 Å³/f.u.
Space group: Fm-3m
Energy of formation from the pure elements: -0.38 eV per atom
Total energy: -0.22550 Ry/atom
N(E_F): 3.156 states/eV/f.u.

abc: 5.2099 5.2099 5.2099
angles: 60.00 60.00 60.00
Fractional positions:
Ac: 0.0000 0.0000 0.0000
Hg: 0.2500 0.2500 0.2500
Hg: 0.7500 0.7500 0.7500
Pt: 0.5000 0.5000 0.5000

=====

(2)
A plane-wave DFT calculation with PBE was carried out for NbTe3Se after structural relaxation.

## Properties
ΔE_f (raw): 0.932 eV per atom
Energy above the lowest structure with this stoichiometry: 603 meV/atom
Calculated volume: 153.8 Å³/f.u.
Space group: Pm-3m
Total energy: -0.26928 Ry/atom
N(E_F): 3.466 states/eV/f.u.

abc: 5.3577 5.3577 5.3577
angles: 90.00 90.00 90.00
Fractional positions:
Nb: 0.5000 0.5000 0.5000
Te: 0.0000 0.5000 0.0000
Te: 0.0000 0.0000 0.5000
Te: 0.5000 0.0000 0.0000
Se: 0.0000 0.0000 0.0000

=====

(3)
A plane-wave DFT calculation with PBE was carried out for PmCoP2 after structural relaxation.

## Properties
Energy above the lowest structure with this stoichiometry: 0 meV/atom
Calculated volume: 69.6 Å³/f.u.
Space group: I-4m2
Energy of formation from the pure elements: -0.94 eV per atom
Total energy: -0.48578 Ry/atom
N(E_F): 2.535 states/eV/f.u.

abc: 3.8879 3.8878 5.3627
angles: 111.24 111.24 90.03
Fractional positions:
Pm: 0.2213 0.8812 0.2282
Co: 0.4714 0.6311 0.7282
P: 0.8545 0.5144 0.4945
P: 0.5881 0.2480 0.9619

=====

(4)
A plane-wave DFT calculation with PBE was carried out for Sm2P2Rh after structural relaxation.

## Properties
Calculated volume: 103.9 Å³/f.u.
Space group: C2/m
Energy of formation from the pure elements: -1.24 eV per atom
Total energy: -0.49686 Ry/atom
N(E_F): 2.321 states/eV/f.u.

abc: 4.0737 5.7417 9.8091
angles: 78.59 78.02 69.22
Fractional positions:
Sm: 0.6986 0.2454 0.3575
Sm: 0.9113 0.2810 0.8964
Sm: 0.3014 0.7546 0.6425
Sm: 0.0887 0.7190 0.1036
P: 0.0469 0.3237 0.5826
P: 0.6589 0.8183 0.8639
P: 0.9531 0.6763 0.4174
P: 0.3411 0.1817 0.1361
Rh: 0.5665 0.1846 0.6824
Rh: 0.4335 0.8154 0.3176

=====

(5)
A plane-wave DFT calculation with PBE was carried out for Ga2CoI after structural relaxation.

## Properties
ΔE_f (raw): 0.288 eV per atom
Energy above the lowest structure with this stoichiometry: 0 meV/atom
Calculated volume: 106.7 Å³/f.u.
Space group: I-42d
Total energy: -0.24915 Ry/atom
N(E_F): 1.176 states/eV/f.u.

abc: 5.5167 5.5167 8.0241
angles: 69.89 69.89 90.00
Fractional positions:
I: 0.0000 0.0000 0.0000
I: 0.7500 0.2500 0.5000
Co: 0.5000 0.5000 0.0000
Co: 0.2500 0.7500 0.5000
Ga: 0.4765 0.1250 0.2500
Ga: 0.2735 0.6250 0.2500
Ga: 0.3750 0.5235 0.7500
Ga: 0.8750 0.7265 0.7500

=====

(6)
A plane-wave DFT calculation with PBE was carried out for Ce4IrN after structural relaxation.

## Properties
ΔE_f (raw): -0.600 eV per atom
Calculated volume: 151.3 Å³/f.u.
Space group: I4_1md
Total energy: -0.54536 Ry/atom
N(E_F): 16.237 states/eV/f.u.

abc: 7.3394 7.3394 7.3394
angles: 107.00 107.00 114.53
Fractional positions:
Ce: 0.2805 0.9715 0.6909
Ce: 0.7195 0.4283 0.7088
Ce: 0.7215 0.5305 0.1909
Ce: 0.1783 0.9695 0.2088
Ce: 0.3396 0.5305 0.8091
Ce: 0.7606 0.9695 0.7912
Ce: 0.7195 0.0106 0.2912
Ce: 0.2805 0.5896 0.3091
Ir: 0.2336 0.2336 0.0000
Ir: 0.9836 0.4836 0.5000
N: 0.7663 0.7663 0.0000
N: 0.5163 0.0163 0.5000

=====

(7)
A plane-wave DFT calculation with PBE was carried out for MgCoGePt2 after structural relaxation.

## Properties
Calculated volume: 101.3 Å³/f.u.
Space group: P4/mmm
Energy of formation from the pure elements: 1.14 eV per atom
Total energy: -0.28959 Ry/atom
N(E_F): 5.924 states/eV/f.u.

abc: 4.6281 4.7305 4.6281
angles: 90.00 90.00 90.00
Fractional positions:
Ge: 0.0000 0.5000 0.0000
Co: 0.5000 0.5000 0.5000
Mg: 0.0000 0.0000 0.0000
Pt: 0.0000 0.0000 0.5000
Pt: 0.5000 0.0000 0.0000